The following is a PBE calculation of an optimized crystal structure of Li2AgSe, from the Alexandria database.

Properties
Total energy (eV/atom): -2.664

Unit cell a=9.1628 b=9.1628 c=9.1628 alpha=19.84 beta=19.84 gamma=19.84
Sites, in units of the cell vectors:
Li: 0.0000 0.0000 0.0000
Li: 0.2327 0.2327 0.2327
Ag: 0.7450 0.7450 0.7450
Se: 0.5000 0.5000 0.5000

***

The following is a PBE calculation of an optimized crystal structure of LiAg3Se2, from the Alexandria database.

Properties
Offset from the most stable computed form (meV/atom): 55.0

Unit cell a=8.0006 b=8.0006 c=8.0006 alpha=131.98 beta=68.75 gamma=133.91
Sites, in units of the cell vectors:
Li: 0.0000 0.0000 0.0000
Li: 0.5000 0.5000 0.0000
Ag: 0.0120 0.2500 0.7620
Ag: 0.2500 0.7500 0.5000
Ag: 0.4880 0.2500 0.2380
Ag: 0.5120 0.7500 0.7620
Ag: 0.7500 0.2500 0.5000
Ag: 0.9880 0.7500 0.2380
Se: 0.1284 0.7341 0.8625
Se: 0.3716 0.2341 0.6057
Se: 0.6284 0.7659 0.3943
Se: 0.8716 0.2659 0.1375

***

Copy entry 1 word for word.
The following is a PBE calculation of an optimized crystal structure of Li2AgSe, from the Alexandria database.

Properties
Total energy (eV/atom): -2.664

Unit cell a=9.1628 b=9.1628 c=9.1628 alpha=19.84 beta=19.84 gamma=19.84
Sites, in units of the cell vectors:
Li: 0.0000 0.0000 0.0000
Li: 0.2327 0.2327 0.2327
Ag: 0.7450 0.7450 0.7450
Se: 0.5000 0.5000 0.5000